1.
Material: InHg2Os
Method: DFT, GGA-PBE
State: optimized geometry

Values from the calculation:
Formation energy from the elements in eV per atom: 0.67
E in eV per atom: -2.974

a = 2.969 Å, b = 5.424 Å, c = 5.032 Å
α = 90.00°, β = 91.88°, γ = 90.00°
Space group P2/m (No. 10)
Symmetry-distinct sites (fractional):
1 In 0.000 0.000 0.000
2 Hg 0.256 0.500 0.254
3 Os 0.500 0.000 0.500

2.
Material: InHgOs
Method: DFT, GGA-PBE
State: optimized geometry

Values from the calculation:
ΔE to the lowest computed polymorph in meV per atom: 4
Formation energy from the elements in eV per atom: 0.72
E in eV per atom: -4.038

a = 3.323 Å, b = 3.323 Å, c = 10.475 Å
α = 90.00°, β = 90.00°, γ = 90.00°
Space group I4mm (No. 107)
Symmetry-distinct sites (fractional):
1 In 0.000 0.000 0.000
2 Hg 0.000 0.000 0.699
3 Os 0.000 0.000 0.364

3.
Material: In2HgOs
Method: DFT, GGA-PBE
State: optimized geometry

Values from the calculation:
Formation energy from the elements in eV per atom: 0.33
E in eV per atom: -3.918

a = 2.939 Å, b = 4.610 Å, c = 13.356 Å
α = 90.00°, β = 90.00°, γ = 90.00°
Space group Imm2 (No. 44)
Symmetry-distinct sites (fractional):
1 In 0.000 0.000 0.000
2 In 0.000 0.500 0.188
3 Hg 0.000 0.500 0.819
4 Os 0.000 0.000 0.509

4.
Material: InHgOs3
Method: DFT, GGA-PBE
State: optimized geometry

Values from the calculation:
ΔE to the lowest computed polymorph in meV per atom: 0
Formation energy from the elements in eV per atom: 2.80
E in eV per atom: -4.543

a = 4.878 Å, b = 4.878 Å, c = 4.878 Å
α = 90.00°, β = 90.00°, γ = 90.00°
Space group Pm-3m (No. 221)
Symmetry-distinct sites (fractional):
1 In 0.000 0.000 0.000
2 Hg 0.500 0.500 0.500
3 Os 0.000 0.000 0.500

5.
Material: InHg2Os
Method: DFT, GGA-PBE
State: optimized geometry

Values from the calculation:
Formation energy from the elements in eV per atom: 0.47
E in eV per atom: -3.170

a = 2.844 Å, b = 4.800 Å, c = 13.387 Å
α = 90.00°, β = 90.00°, γ = 90.00°
Space group Imm2 (No. 44)
Symmetry-distinct sites (fractional):
1 In 0.000 0.000 0.000
2 Hg 0.000 0.000 0.368
3 Hg 0.000 0.500 0.185
4 Os 0.000 0.500 0.680

6.
Material: In2HgOs
Method: DFT, GGA-PBE
State: optimized geometry

Values from the calculation:
Formation energy from the elements in eV per atom: 0.45
E in eV per atom: -3.801

a = 3.402 Å, b = 3.884 Å, c = 6.010 Å
α = 90.00°, β = 90.09°, γ = 90.00°
Space group P2/m (No. 10)
Symmetry-distinct sites (fractional):
1 In 0.001 0.000 0.232
2 Hg 0.500 0.500 0.500
3 Os 0.500 0.500 0.000